Compound: Ca2PmSm3Te6
Source: Alexandria via LeMat-Bulk
Functional: GGA-PBE
Structure: optimized geometry

Unit cell a=7.700 b=7.700 c=7.793 alpha=99.50 beta=99.50 gamma=120.06
Fractional positions:
Sm 0.500 0.500 0.500
Sm 0.168 0.832 0.500
Sm 0.832 0.168 0.500
Ca 0.667 0.333 0.000
Ca 0.333 0.667 0.000
Te 0.748 0.748 0.251
Te 0.418 0.083 0.248
Te 0.582 0.917 0.752
Te 0.083 0.418 0.248
Te 0.252 0.252 0.749
Te 0.917 0.582 0.752
Pm 0.000 0.000 0.000

As for the size of the total moment: 0.00 μB/cell. The formation energy without anion corrections comes out at -1.4602 eV per atom. Its space group is No. 12. For the electronic total energy, the calculation gives -4.940 eV per atom.